Here is a relaxed structure of Pu3SiB2Rh9 from Alexandria. Energies are from PBE.

Cell: 6.0067 6.0067 7.7162 Å, 90.00 90.00 120.00°
With the nearest neighbours (Å) after each atom.
Fractional coordinates of all 15 atoms:
Pu: 0.3333 0.6667 0.6566  12 Rh 3.01-3.17
Pu: 0.0000 0.0000 0.0000  12 Rh 2.99-3.00
Pu: 0.6667 0.3333 0.3434  12 Rh 3.01-3.17
Si: 0.0000 0.0000 0.5000  6 Rh 2.31
B: 0.3333 0.6667 0.1503  6 Rh 2.09
B: 0.6667 0.3333 0.8497  6 Rh 2.09
Rh: 0.8281 0.1719 0.6892  1 B 2.09, 1 Si 2.31
Rh: 0.8281 0.6562 0.6892  1 B 2.09, 1 Si 2.31
Rh: 0.3438 0.1719 0.6892  1 B 2.09, 1 Si 2.31
Rh: 0.6562 0.8281 0.3108  1 B 2.09, 1 Si 2.31
Rh: 0.1719 0.3438 0.3108  1 B 2.09, 1 Si 2.31
Rh: 0.1719 0.8281 0.3108  1 B 2.09, 1 Si 2.31
Rh: 0.5000 0.0000 0.0000  2 B 2.09
Rh: 0.0000 0.5000 0.0000  2 B 2.09
Rh: 0.5000 0.5000 0.0000  2 B 2.09

Computed properties:
Symmetry = P-3m1
Theoretical density = 11.76 g/cm3
Formation energy without anion corrections = -0.51 eV/atom

Here is a relaxed structure of Al3Re from Alexandria. Energies are from PBE.

Cell: 4.8584 4.8584 4.7406 Å, 83.26 83.26 32.85°
With the nearest neighbours (Å) after each atom.
Fractional coordinates of all 4 atoms:
Re: 0.0000 0.0000 0.0000  10 Al 2.74-2.79, 2 Re 2.75
Al: 0.5000 0.5000 0.5000  8 Al 2.69-2.91, 4 Re 2.74
Al: 0.7419 0.7419 0.7581  9 Al 2.69-2.91, 3 Re 2.77-2.79
Al: 0.2581 0.2581 0.2419  9 Al 2.69-2.91, 3 Re 2.77-2.79

Computed properties:
Symmetry = C2/m
ΔE_f = -0.117 eV/atom
Theoretical density = 7.36 g/cm3

Here is a relaxed structure of BiSbC from Alexandria. Energies are from PBE.

Cell: 5.8153 3.4402 7.0327 Å, 90.00 95.63 90.00°
With the nearest neighbours (Å) after each atom.
Fractional coordinates of all 6 atoms:
Sb: 0.4248 0.5000 0.3027  1 C 2.19
Sb: 0.9146 0.5000 0.0174  3 C 2.21-2.24
C: 0.5294 0.5000 0.0125  2 Sb 2.19-2.24, 2 Bi 2.34
C: 0.9860 0.0000 0.8355  2 Sb 2.21, 2 Bi 2.39-2.40
Bi: 0.3936 0.0000 0.8063  3 C 2.34-2.40
Bi: 0.9050 0.0000 0.4957  1 C 2.39

Computed properties:
Symmetry = Pm
Energy above the most stable polymorph in this dataset = 162.8 meV/atom
Theoretical density = 8.13 g/cm3
Formation energy without anion corrections = 0.91 eV/atom

Here is a relaxed structure of Cs3FeRe from Alexandria. Energies are from PBE.

Cell: 5.9346 5.9346 5.9346 Å, 90.00 90.00 90.00°
With the nearest neighbours (Å) after each atom.
Fractional coordinates of all 5 atoms:
Cs: 0.0000 0.5000 0.0000  2 Fe 2.97
Cs: 0.0000 0.0000 0.5000  2 Fe 2.97
Cs: 0.5000 0.0000 0.0000  2 Fe 2.97
Re: 0.5000 0.5000 0.5000  12 Cs 4.20
Fe: 0.0000 0.0000 0.0000  6 Cs 2.97

Computed properties:
Symmetry = Pm-3m
ΔE_f = 2.199 eV/atom
Theoretical density = 5.09 g/cm3

Here is a relaxed structure of MgNbB3 from Alexandria. Energies are from PBE.

Cell: 3.9998 3.9998 3.9998 Å, 90.00 90.00 90.00°
With the nearest neighbours (Å) after each atom.
Fractional coordinates of all 5 atoms:
Nb: 0.5000 0.5000 0.5000  12 B 2.83
B: 0.0000 0.5000 0.0000  2 Mg 2.00
B: 0.0000 0.0000 0.5000  2 Mg 2.00
B: 0.5000 0.0000 0.0000  2 Mg 2.00
Mg: 0.0000 0.0000 0.0000  6 B 2.00

Computed properties:
Symmetry = Pm-3m
ΔE_f = 2.012 eV/atom
Energy above the most stable polymorph in this dataset = 874.7 meV/atom
Theoretical density = 3.88 g/cm3

Here is a relaxed structure of KNbPPd2 from Alexandria. Energies are from PBE.

Cell: 4.8479 6.1243 4.8479 Å, 90.00 90.00 90.00°
With the nearest neighbours (Å) after each atom.
Fractional coordinates of all 5 atoms:
P: 0.5000 0.5000 0.5000  4 K 3.43
Nb: 0.0000 0.0000 0.0000  4 Pd 2.42
K: 0.0000 0.5000 0.0000  2 Nb 3.06, 4 P 3.43
Pd: 0.0000 0.0000 0.5000  2 Nb 2.42
Pd: 0.5000 0.0000 0.0000  2 Nb 2.42

Computed properties:
Symmetry = P4/mmm
ΔE_f = 1.381 eV/atom
Theoretical density = 4.34 g/cm3

Here is a relaxed structure of Ca3TmZn4 from Alexandria. Energies are from PBE.

Cell: 3.6281 3.6281 14.5804 Å, 90.00 90.00 90.00°
With the nearest neighbours (Å) after each atom.
Fractional coordinates of all 8 atoms:
Ca: 0.5000 0.5000 0.2447  8 Zn 3.17-3.22
Ca: 0.5000 0.5000 0.5000  8 Zn 3.17
Ca: 0.5000 0.5000 0.7553  8 Zn 3.17-3.22
Tm: 0.5000 0.5000 0.0000  8 Zn 3.04
Zn: 0.0000 0.0000 0.8887  4 Tm 3.04, 4 Ca 3.22, 1 Zn 3.25
Zn: 0.0000 0.0000 0.1113  4 Tm 3.04, 4 Ca 3.22, 1 Zn 3.25
Zn: 0.0000 0.0000 0.3727  8 Ca 3.17
Zn: 0.0000 0.0000 0.6273  8 Ca 3.17

Computed properties:
Symmetry = P4/mmm
ΔE_f = -0.265 eV/atom
Theoretical density = 4.77 g/cm3

Here is a relaxed structure of TlCr3I from Alexandria. Energies are from PBE.

Cell: 5.2621 5.2621 5.2621 Å, 90.00 90.00 90.00°
With the nearest neighbours (Å) after each atom.
Fractional coordinates of all 5 atoms:
I: 0.5000 0.5000 0.5000  12 Cr 3.72
Cr: 0.0000 0.5000 0.0000  2 Tl 2.63
Cr: 0.0000 0.0000 0.5000  2 Tl 2.63
Cr: 0.5000 0.0000 0.0000  2 Tl 2.63
Tl: 0.0000 0.0000 0.0000  6 Cr 2.63

Computed properties:
Symmetry = Pm-3m
Energy above the most stable polymorph in this dataset = 0.0 meV/atom
Theoretical density = 5.55 g/cm3
Formation energy without anion corrections = 1.29 eV/atom